[1]
Computed, not measured: a relaxed structure of YGa3P at the PBE level of DFT.

```
data_YGa3P
_chemical_formula_sum 'Y1 Ga3 P1'
_cell_length_a 5.454
_cell_length_b 5.454
_cell_length_c 5.454
_cell_angle_alpha 90.00
_cell_angle_beta 90.00
_cell_angle_gamma 90.00
_space_group_name_H-M_alt 'P 1'
_space_group_IT_number 1
loop_
_space_group_symop_operation_xyz
'x,y,z'
loop_
_atom_site_label
_atom_site_type_symbol
_atom_site_fract_x
_atom_site_fract_y
_atom_site_fract_z
_atom_site_occupancy
Y1 Y 0.000 0.000 0.000 1
P1 P 0.500 0.500 0.500 1
Ga1 Ga 0.000 0.000 0.500 1
Ga2 Ga 0.000 0.500 0.000 1
Ga3 Ga 0.500 0.000 0.000 1
```

D(E_F) (states/eV/cell): 3.8
Volume (Å³ per cell): 162.2
ΔE_f (eV/f.u.): 5.180

***

[2]
Computed, not measured: a relaxed structure of SrCdFe at the PBE level of DFT.

```
data_SrCdFe
_chemical_formula_sum 'Sr1 Cd1 Fe1'
_cell_length_a 6.309
_cell_length_b 6.309
_cell_length_c 3.579
_cell_angle_alpha 73.52
_cell_angle_beta 73.52
_cell_angle_gamma 32.95
_space_group_name_H-M_alt 'P 1'
_space_group_IT_number 1
loop_
_space_group_symop_operation_xyz
'x,y,z'
loop_
_atom_site_label
_atom_site_type_symbol
_atom_site_fract_x
_atom_site_fract_y
_atom_site_fract_z
_atom_site_occupancy
Cd1 Cd 0.963 0.963 0.037 1
Fe1 Fe 0.364 0.364 0.636 1
Sr1 Sr 0.674 0.674 0.326 1
```

D(E_F) (states/eV/cell): 5.0
Volume (Å³ per cell): 74.0
ΔE_f (eV/f.u.): 1.104

***

[3]
Computed, not measured: a relaxed structure of MgZn2BiRh at the PBE level of DFT.

```
data_MgZn2BiRh
_chemical_formula_sum 'Mg1 Zn2 Bi1 Rh1'
_cell_length_a 5.167
_cell_length_b 5.382
_cell_length_c 5.167
_cell_angle_alpha 90.00
_cell_angle_beta 90.00
_cell_angle_gamma 90.00
_space_group_name_H-M_alt 'P 1'
_space_group_IT_number 1
loop_
_space_group_symop_operation_xyz
'x,y,z'
loop_
_atom_site_label
_atom_site_type_symbol
_atom_site_fract_x
_atom_site_fract_y
_atom_site_fract_z
_atom_site_occupancy
Zn1 Zn 0.500 0.000 0.000 1
Rh1 Rh 0.500 0.500 0.500 1
Zn2 Zn 0.000 0.000 0.500 1
Mg1 Mg 0.000 0.500 0.000 1
Bi1 Bi 0.000 0.000 0.000 1
```

D(E_F) (states/eV/cell): 7.2
Volume (Å³ per cell): 143.7
ΔE_f (eV/f.u.): 5.746

***

[4]
Computed, not measured: a relaxed structure of La2MnHg at the PBE level of DFT.

```
data_La2MnHg
_chemical_formula_sum 'La4 Mn2 Hg2'
_cell_length_a 8.145
_cell_length_b 8.145
_cell_length_c 6.520
_cell_angle_alpha 51.35
_cell_angle_beta 51.35
_cell_angle_gamma 90.00
_space_group_name_H-M_alt 'P 1'
_space_group_IT_number 1
loop_
_space_group_symop_operation_xyz
'x,y,z'
loop_
_atom_site_label
_atom_site_type_symbol
_atom_site_fract_x
_atom_site_fract_y
_atom_site_fract_z
_atom_site_occupancy
La1 La 0.875 0.803 0.750 1
Hg1 Hg 0.750 0.250 0.500 1
Hg2 Hg 0.000 0.000 0.000 1
Mn1 Mn 0.250 0.750 0.500 1
Mn2 Mn 0.500 0.500 0.000 1
La2 La 0.197 0.625 0.250 1
La3 La 0.375 0.447 0.750 1
La4 La 0.553 0.125 0.250 1
```

D(E_F) (states/eV/cell): 8.6
Volume (Å³ per cell): 202.8
ΔE_f (eV/f.u.): 0.974

***

[5]
Computed, not measured: a relaxed structure of ZnIrSe at the PBE level of DFT.

```
data_ZnIrSe
_chemical_formula_sum 'Zn1 Ir1 Se1'
_cell_length_a 7.359
_cell_length_b 7.067
_cell_length_c 2.890
_cell_angle_alpha 84.18
_cell_angle_beta 72.82
_cell_angle_gamma 23.00
_space_group_name_H-M_alt 'P 1'
_space_group_IT_number 1
loop_
_space_group_symop_operation_xyz
'x,y,z'
loop_
_atom_site_label
_atom_site_type_symbol
_atom_site_fract_x
_atom_site_fract_y
_atom_site_fract_z
_atom_site_occupancy
Ir1 Ir 0.001 0.001 0.999 1
Zn1 Zn 0.655 0.655 0.345 1
Se1 Se 0.343 0.343 0.657 1
```

D(E_F) (states/eV/cell): 1.3
Volume (Å³ per cell): 49.9
Raw formation energy (eV per atom): 0.31

***

[6]
Computed, not measured: a relaxed structure of Y3Si6Pd20 at the PBE level of DFT.

```
data_Y3Si6Pd20
_chemical_formula_sum 'Y3 Si6 Pd20'
_cell_length_a 8.714
_cell_length_b 8.714
_cell_length_c 8.714
_cell_angle_alpha 60.00
_cell_angle_beta 60.00
_cell_angle_gamma 60.00
_space_group_name_H-M_alt 'P 1'
_space_group_IT_number 1
loop_
_space_group_symop_operation_xyz
'x,y,z'
loop_
_atom_site_label
_atom_site_type_symbol
_atom_site_fract_x
_atom_site_fract_y
_atom_site_fract_z
_atom_site_occupancy
Si1 Si 0.733 0.267 0.267 1
Si2 Si 0.267 0.733 0.733 1
Pd1 Pd 0.384 0.384 0.384 1
Y1 Y 0.250 0.250 0.250 1
Pd2 Pd 0.654 0.000 0.000 1
Pd3 Pd 0.654 0.346 0.000 1
Pd4 Pd 0.616 0.616 0.616 1
Pd5 Pd 0.616 0.151 0.616 1
Pd6 Pd 0.000 0.346 0.000 1
Pd7 Pd 0.000 0.346 0.654 1
Pd8 Pd 0.616 0.616 0.151 1
Pd9 Pd 0.346 0.654 0.000 1
Pd10 Pd 0.000 0.654 0.000 1
Pd11 Pd 0.000 0.000 0.346 1
Si3 Si 0.267 0.267 0.733 1
Pd12 Pd 0.384 0.384 0.849 1
Pd13 Pd 0.151 0.616 0.616 1
Pd14 Pd 0.000 0.654 0.346 1
Y2 Y 0.750 0.750 0.750 1
Y3 Y 0.000 0.000 0.000 1
Si4 Si 0.267 0.733 0.267 1
Pd15 Pd 0.384 0.849 0.384 1
Pd16 Pd 0.849 0.384 0.384 1
Pd17 Pd 0.346 0.000 0.654 1
Pd18 Pd 0.346 0.000 0.000 1
Si5 Si 0.733 0.733 0.267 1
Pd19 Pd 0.000 0.000 0.654 1
Pd20 Pd 0.654 0.000 0.346 1
Si6 Si 0.733 0.267 0.733 1
```

D(E_F) (states/eV/cell): 7.1
Volume (Å³ per cell): 467.9
Raw formation energy (eV per atom): -0.82